Material: LiHo2Ti
Method: DFT, PBE
State: relaxed

a = 3.410 Å, b = 3.410 Å, c = 8.494 Å
α = 90.00°, β = 90.00°, γ = 90.00°
Fractional positions:
Li (0.000, 0.000, 0.000)
Ho (0.500, 0.500, 0.266)
Ho (0.500, 0.500, 0.734)
Ti (0.000, 0.000, 0.500)

Summary:
The polymorph energy (0 for the lowest one) comes out at 0.000 eV/atom. The crystal system is tetragonal. The calculation puts the formation energy at 145 meV per atom. The calculation puts the total energy at -4.60 eV per atom.